No. 1
CaGaOF2 | GGA-PBE | relaxed

E_form (uncorrected) ... -2.25 eV/atom
SG ... No. 123
Fermi-level density of states ... 0.197 states/eV/atom

a = 4.2339 Å, b = 4.2339 Å, c = 4.0005 Å
α = 90.00°, β = 90.00°, γ = 90.00°
Closest atoms and distances in Å follow each position.
Atoms (fractional coordinates):
Ga 0.0000 0.0000 0.0000  2 O 2.00, 4 F 2.12
O 0.0000 0.0000 0.5000  2 Ga 2.00
Ca 0.5000 0.5000 0.5000  8 F 2.91, 4 O 2.99
F 0.0000 0.5000 0.0000  2 Ga 2.12
F 0.5000 0.0000 0.0000  2 Ga 2.12



No. 2
CaGaO2F | GGA-PBE | relaxed

E_form (uncorrected) ... -1.28 eV/atom
SG ... No. 123
Fermi-level density of states ... 0.709 states/eV/atom

a = 4.5200 Å, b = 4.5200 Å, c = 4.3488 Å
α = 90.00°, β = 90.00°, γ = 90.00°
Closest atoms and distances in Å follow each position.
Atoms (fractional coordinates):
O 0.5000 0.0000 0.0000  2 Ca 2.26
O 0.0000 0.5000 0.0000  2 Ca 2.26
F 0.0000 0.0000 0.5000  2 Ca 2.17
Ca 0.0000 0.0000 0.0000  2 F 2.17, 4 O 2.26
Ga 0.5000 0.5000 0.5000  8 O 3.14, 4 F 3.20



No. 3
CaGaOF2 | GGA-PBE | relaxed

E_form (uncorrected) ... -2.02 eV/atom
SG ... No. 123
Fermi-level density of states ... 0.919 states/eV/atom

a = 4.3165 Å, b = 4.3165 Å, c = 4.6618 Å
α = 90.00°, β = 90.00°, γ = 90.00°
Closest atoms and distances in Å follow each position.
Atoms (fractional coordinates):
Ga 0.5000 0.5000 0.5000  4 O 3.05, 8 F 3.18
F 0.5000 0.0000 0.0000  2 Ca 2.16
F 0.0000 0.5000 0.0000  2 Ca 2.16
Ca 0.0000 0.0000 0.0000  4 F 2.16, 2 O 2.33
O 0.0000 0.0000 0.5000  2 Ca 2.33



No. 4
CaGaO2F | GGA-PBE | relaxed

E_form (uncorrected) ... -2.43 eV/atom
SG ... No. 123
Fermi-level density of states ... 0.000 states/eV/atom

a = 3.8703 Å, b = 3.8703 Å, c = 3.9314 Å
α = 90.00°, β = 90.00°, γ = 90.00°
Closest atoms and distances in Å follow each position.
Atoms (fractional coordinates):
Ga 0.0000 0.0000 0.0000  4 O 1.94, 2 F 1.97
Ca 0.5000 0.5000 0.5000  4 F 2.74, 8 O 2.76
O 0.5000 0.0000 0.0000  2 Ga 1.94
O 0.0000 0.5000 0.0000  2 Ga 1.94
F 0.0000 0.0000 0.5000  2 Ga 1.97



The lowest E_form (uncorrected) belongs to which entry?
number 4



Which of these has the lowest Fermi-level density of states?
number 4